No. 1
The following is a GGA-PBE calculation of a relaxed structure of Li2MoRh, from Alexandria via LeMat-Bulk.

Structure (POSCAR):
```
Li2MoRh
1.0
-1.1953 1.5092 1.8764
1.4182 -2.0199 1.0658
7.4652 5.4414 0.3789
Li Mo Rh
2 1 1
Cartesian
7.3020 5.3224 0.3706 Li
2.0299 1.1430 1.5685 Li
3.8430 2.8011 0.1951 Mo
5.7110 3.8262 1.7553 Rh
```

## Properties
**Raw total energy**: -5.4071 eV per atom
**Polymorph energy (0 for the lowest one)**: 55 meV per atom
**Energy of formation**: 0.382 eV/f.u.
**Spin magnetization**: 0.000 μB/atom

---

No. 2
The following is a GGA-PBE calculation of a relaxed structure of Hf2Zn3Pd2, from Alexandria via LeMat-Bulk.

Structure (POSCAR):
```
Hf2Zn3Pd2
1.0
-2.8204 -0.9980 3.1194
-1.7557 -0.4377 -4.7218
3.3721 -5.2340 1.3743
Hf Zn Pd
2 3 2
Cartesian
-2.8719 -2.3841 -0.3650 Hf
1.6679 -4.2857 0.1369 Hf
-1.4102 -0.4990 1.5597 Zn
-0.6550 -2.9686 1.4524 Zn
-0.5490 -3.7011 -1.6805 Zn
-0.9269 -5.3328 0.4502 Pd
-0.2770 -1.3370 -0.6782 Pd
```

## Properties
**Raw total energy**: -5.3443 eV per atom
**Energy of formation**: -3.296 eV/f.u.
**Spin magnetization**: 0.000 μB/atom

---

No. 3
The following is a GGA-PBE calculation of a relaxed structure of ErThSn, from Alexandria via LeMat-Bulk.

Structure (POSCAR):
```
ErThSn
1.0
3.3917 0.0000 0.0000
0.0000 5.8927 0.0000
0.0000 0.0000 8.9893
Er Th Sn
2 2 2
Cartesian
1.6958 2.9464 1.9748 Er
0.0000 0.0000 7.0145 Er
1.6958 2.9464 5.3748 Th
0.0000 0.0000 3.6145 Th
0.0000 2.9464 8.2461 Sn
1.6958 0.0000 0.7432 Sn
```

## Properties
**Raw total energy**: -5.4788 eV per atom
**Polymorph energy (0 for the lowest one)**: 339 meV per atom
**Energy of formation**: -0.451 eV/f.u.
**Spin magnetization**: 0.000 μB/atom

---

No. 4
The following is a GGA-PBE calculation of a relaxed structure of La2Sm3Ho6, from Alexandria via LeMat-Bulk.

Structure (POSCAR):
```
La2Sm3Ho6
1.0
4.7796 0.0000 0.0000
0.0000 4.7796 0.0000
-2.3898 -2.3898 16.7247
La Sm Ho
2 3 6
Cartesian
0.0000 0.0000 15.1806 La
2.3898 2.3898 1.5440 La
0.0000 0.0000 0.0000 Sm
2.3898 2.3898 9.9228 Sm
0.0000 0.0000 6.8019 Sm
0.0000 2.3898 4.1011 Ho
2.3898 0.0000 4.1011 Ho
2.3898 0.0000 12.6235 Ho
0.0000 2.3898 12.6235 Ho
2.3898 2.3898 6.4890 Ho
0.0000 0.0000 10.2357 Ho
```

## Properties
**Raw total energy**: -4.4213 eV per atom
**Polymorph energy (0 for the lowest one)**: 77 meV per atom
**Energy of formation**: 2.845 eV/f.u.
**Spin magnetization**: 0.000 μB/atom

---

No. 5
The following is a GGA-PBE calculation of a relaxed structure of Ac5Pd5Au2, from Alexandria via LeMat-Bulk.

Structure (POSCAR):
```
Ac5Pd5Au2
1.0
4.2080 0.0000 0.9493
2.1147 8.0877 0.4273
0.0423 -0.6434 9.6133
Ac Pd Au
5 5 2
Cartesian
1.0785 3.7222 5.0203 Ac
4.4161 5.2169 9.8278 Ac
3.5452 7.2926 3.8873 Ac
2.8198 0.1518 7.1026 Ac
1.9489 2.2274 1.1621 Ac
3.4563 1.4782 4.2815 Pd
4.5880 1.7250 9.0655 Pd
1.7769 5.7193 1.9244 Pd
2.9087 5.9662 6.7084 Pd
0.0000 0.0000 0.0000 Pd
2.6499 3.3715 7.8557 Au
3.7151 4.0728 3.1342 Au
```

## Properties
**Raw total energy**: -5.2221 eV per atom
**Energy of formation**: -9.605 eV/f.u.
**Spin magnetization**: 0.000 μB/atom

---

No. 6
The following is a GGA-PBE calculation of a relaxed structure of AgMoRh2, from Alexandria via LeMat-Bulk.

Structure (POSCAR):
```
AgMoRh2
1.0
4.7699 -0.0005 0.0000
-1.3581 4.5724 0.0000
0.0000 0.0000 2.8000
Ag Mo Rh
1 1 2
Cartesian
2.3849 -0.0003 1.4000 Ag
-0.6790 2.2862 1.4000 Mo
0.0000 0.0000 0.0000 Rh
1.7059 2.2860 0.0000 Rh
```

## Properties
**Raw total energy**: -6.9085 eV per atom
**Polymorph energy (0 for the lowest one)**: 217 meV per atom
**Energy of formation**: 0.751 eV/f.u.
**Spin magnetization**: 0.000 μB/atom

---

No. 7
The following is a GGA-PBE calculation of a relaxed structure of CeGdPt, from Alexandria via LeMat-Bulk.

Structure (POSCAR):
```
CeGdPt
1.0
3.8914 0.0000 0.0000
0.0000 4.6802 0.0000
0.0000 -2.3401 4.0531
Gd Ce Pt
1 1 1
Cartesian
2.4569 2.3401 1.3510 Gd
0.1272 0.0000 0.0000 Ce
1.3072 0.0000 2.7021 Pt
```

## Properties
**Raw total energy**: -9.2602 eV per atom
**Polymorph energy (0 for the lowest one)**: 110 meV per atom
**Energy of formation**: -1.725 eV/f.u.
**Spin magnetization**: 2.191 μB/atom

---

No. 8
The following is a GGA-PBE calculation of a relaxed structure of Sm2HoEr6Tm3, from Alexandria via LeMat-Bulk.

Structure (POSCAR):
```
Sm2HoEr6Tm3
1.0
6.0985 0.0025 0.0052
-3.0457 5.2836 0.0052
-1.0249 -1.7746 11.4857
Sm Ho Er Tm
2 1 6 3
Cartesian
0.0029 3.5229 0.0052 Sm
3.0500 1.7631 0.0052 Sm
0.0000 0.0000 0.0000 Ho
3.0414 1.7520 8.5897 Er
2.0374 3.5276 2.9134 Er
-1.0134 1.7595 2.9063 Er
-0.0025 3.5099 8.5897 Er
-0.0094 -0.0162 8.5826 Er
2.0304 0.0016 2.9063 Er
-2.0356 3.5170 5.7480 Tm
4.0635 -0.0055 5.7480 Tm
1.0140 1.7557 5.7480 Tm
```

## Properties
**Raw total energy**: -4.5449 eV per atom
**Energy of formation**: 0.269 eV/f.u.
**Spin magnetization**: 0.000 μB/atom

---

No. 9
The following is a GGA-PBE calculation of a relaxed structure of NaNi3As3, from Alexandria via LeMat-Bulk.

Structure (POSCAR):
```
NaNi3As3
1.0
6.6672 0.0000 0.0000
3.3336 5.7740 0.0000
3.3336 1.9246 7.0680
Na Ni As
2 6 6
Cartesian
6.6672 3.8493 7.0654 Na
6.6672 3.8493 0.0026 Na
7.7995 5.7296 4.3444 Ni
7.7294 1.9286 4.3444 Ni
4.4727 3.8897 4.3444 Ni
8.8617 3.8089 2.7235 Ni
5.6050 5.7700 2.7235 Ni
5.5349 1.9690 2.7235 Ni
4.4052 3.9128 2.0432 As
7.7432 1.8586 2.0432 As
7.8532 5.7765 2.0432 As
5.4812 1.9221 5.0247 As
5.5912 5.8400 5.0247 As
8.9292 3.7858 5.0247 As
```

## Properties
**Raw total energy**: -4.9174 eV per atom
**Polymorph energy (0 for the lowest one)**: 0 meV per atom
**Energy of formation**: -1.810 eV/f.u.
**Spin magnetization**: 0.000 μB/atom

---

No. 10
The following is a GGA-PBE calculation of a relaxed structure of PPb2Cl, from Alexandria via LeMat-Bulk.

Structure (POSCAR):
```
PPb2Cl
1.0
-0.4087 7.6912 0.1759
-7.5720 -0.3710 -1.3710
-4.7632 3.5205 3.7089
Pb P Cl
4 2 2
Cartesian
-2.3789 5.3794 0.8598 Pb
-5.9883 1.8710 0.0983 Pb
-6.8225 5.3728 2.2869 Pb
-10.2983 9.0581 1.7825 Pb
-3.9904 3.6601 -0.5975 P
-8.1628 3.4048 0.8702 P
0.0000 0.0000 0.0000 Cl
-4.5812 7.4359 1.6436 Cl
```

## Properties
**Raw total energy**: -3.8744 eV per atom
**Polymorph energy (0 for the lowest one)**: 228 meV per atom
**Spin magnetization**: 0.000 μB/atom
**Uncorrected formation energy**: -0.206 eV per atom

---

No. 11
The following is a GGA-PBE calculation of a relaxed structure of NbGaPt2, from Alexandria via LeMat-Bulk.

Structure (POSCAR):
```
NbGaPt2
1.0
-5.0427 0.5855 -2.7313
-2.7420 -2.1141 4.6092
-4.4168 4.4768 3.0308
Nb Ga Pt
2 2 4
Cartesian
0.0000 0.0000 0.0000 Nb
-6.6760 2.1490 0.6192 Nb
-3.8924 -0.7643 0.9389 Ga
-5.5256 0.7992 4.2894 Ga
-4.5453 1.2147 -0.3444 Pt
-3.5016 -0.1227 3.2681 Pt
-6.2609 2.7621 3.0260 Pt
-10.0953 2.0425 3.8675 Pt
```

## Properties
**Raw total energy**: -6.2328 eV per atom
**Energy of formation**: 0.247 eV/f.u.
**Spin magnetization**: 0.000 μB/atom

---

No. 12
The following is a GGA-PBE calculation of a relaxed structure of BaAs2W, from Alexandria via LeMat-Bulk.

Structure (POSCAR):
```
BaAs2W
1.0
-0.2781 -0.3052 3.2869
-1.2594 -3.0388 -0.3888
7.1682 -3.0125 0.3268
As Ba W
2 1 1
Cartesian
6.7070 -2.8187 0.3058 As
4.0452 -1.7001 0.1844 As
1.0233 -2.4252 1.5308 Ba
4.6074 -3.9314 1.6941 W
```

## Properties
**Raw total energy**: -6.2177 eV per atom
**Polymorph energy (0 for the lowest one)**: 66 meV per atom
**Energy of formation**: -0.696 eV/f.u.
**Spin magnetization**: 0.000 μB/atom

---

No. 13
The following is a GGA-PBE calculation of a relaxed structure of La2MgCoBr, from Alexandria via LeMat-Bulk.

Structure (POSCAR):
```
La2MgCoBr
1.0
-2.8899 3.4795 2.7230
1.6017 -2.2073 4.5205
3.9426 3.1602 0.1461
Mg Co Br La
1 1 1 2
Cartesian
1.9713 1.5801 0.0731 Mg
0.0000 0.0000 0.0000 Co
1.3272 2.2161 3.6948 Br
0.8009 -1.1037 2.2602 La
-1.4449 1.7397 1.3615 La
```

## Properties
**Raw total energy**: -4.5050 eV per atom
**Spin magnetization**: 0.000 μB/atom
**Uncorrected formation energy**: -0.459 eV per atom

---

No. 14
The following is a GGA-PBE calculation of a relaxed structure of ScNiAu2, from Alexandria via LeMat-Bulk.

Structure (POSCAR):
```
ScNiAu2
1.0
3.4159 0.0000 0.0000
0.0000 3.5109 -0.0039
0.0000 3.5177 5.6435
Au Ni Sc
2 1 1
Cartesian
0.0000 3.5175 5.6253 Au
1.7079 1.7577 1.5122 Au
0.0000 3.5146 2.7998 Ni
1.7079 5.2706 4.1658 Sc
```

## Properties
**Raw total energy**: -5.1332 eV per atom
**Energy of formation**: -1.865 eV/f.u.
**Spin magnetization**: 0.000 μB/atom

---

No. 15
The following is a GGA-PBE calculation of a relaxed structure of HoErNiAu, from Alexandria via LeMat-Bulk.

Structure (POSCAR):
```
HoErNiAu
1.0
4.9197 0.0000 0.0000
2.4599 4.2606 0.0000
2.4599 1.4202 4.0170
Ni Au Ho Er
1 1 1 1
Cartesian
2.4599 1.4202 1.0042 Ni
7.3796 4.2606 3.0127 Au
0.0000 0.0000 0.0000 Ho
4.9197 2.8404 2.0085 Er
```

## Properties
**Raw total energy**: -5.1619 eV per atom
**Polymorph energy (0 for the lowest one)**: 49 meV per atom
**Energy of formation**: -2.448 eV/f.u.
**Spin magnetization**: 0.000 μB/atom

---

No. 16
The following is a GGA-PBE calculation of a relaxed structure of MnSi2Br, from Alexandria via LeMat-Bulk.

Structure (POSCAR):
```
MnSi2Br
1.0
3.1439 0.0000 0.0000
0.0000 3.1426 0.0000
0.0000 0.0000 6.7604
Br Mn Si
1 1 2
Cartesian
1.5719 1.5713 1.6901 Br
1.5719 1.5713 5.0703 Mn
0.0000 0.0000 6.3306 Si
0.0000 0.0000 3.8101 Si
```

## Properties
**Raw total energy**: -5.0988 eV per atom
**Polymorph energy (0 for the lowest one)**: 280 meV per atom
**Spin magnetization**: 0.564 μB/atom
**Uncorrected formation energy**: 0.323 eV per atom

---

No. 17
The following is a GGA-PBE calculation of a relaxed structure of Li3NdSm2Se6, from Alexandria via LeMat-Bulk.

Structure (POSCAR):
```
Li3NdSm2Se6
1.0
-2.1870 -6.8828 0.3398
4.5185 2.1042 -5.2371
4.3161 0.1607 5.4485
Li Nd Sm Se
3 1 2 6
Cartesian
5.5513 0.6765 -1.5770 Li
1.0962 -5.2944 2.1282 Li
3.3238 -2.3089 0.2756 Li
0.0000 0.0000 0.0000 Nd
2.2827 -0.8923 -3.3776 Sm
0.0488 -3.8863 -1.5196 Sm
3.8142 -4.9571 1.3275 Se
2.8644 -3.5410 -2.2622 Se
2.8333 0.3393 -0.7763 Se
6.0697 -1.9342 -0.5484 Se
3.7832 -1.0768 2.8135 Se
0.5778 -2.6837 1.0997 Se
```

## Properties
**Raw total energy**: -5.0762 eV per atom
**Spin magnetization**: 0.000 μB/atom
**Uncorrected formation energy**: -1.672 eV per atom

---

No. 18
The following is a GGA-PBE calculation of a relaxed structure of KNa2P, from Alexandria via LeMat-Bulk.

Structure (POSCAR):
```
KNa2P
1.0
-3.1747 3.0084 -3.0995
-4.2310 -2.9402 1.4799
-5.2231 5.8438 6.3862
P K Na
2 2 4
Cartesian
-3.7029 0.0341 -0.8098 P
-6.5785 1.4689 3.5281 P
0.0000 0.0000 0.0000 K
-6.0503 4.4432 1.2384 K
-3.3852 2.5628 0.2677 Na
-4.7807 0.4103 1.7107 Na
-7.2724 4.0068 4.3844 Na
-9.8194 4.8442 3.1703 Na
```

## Properties
**Raw total energy**: -2.3305 eV per atom
**Energy of formation**: -0.177 eV/f.u.
**Spin magnetization**: 0.000 μB/atom

---

No. 19
The following is a GGA-PBE calculation of a relaxed structure of MnCr4CdS8, from Alexandria via LeMat-Bulk.

Structure (POSCAR):
```
MnCr4CdS8
1.0
7.2255 0.0000 0.0000
3.6128 6.2575 0.0000
3.6128 2.0858 5.8996
Mn Cr Cd S
1 4 1 8
Cartesian
7.2255 4.1717 2.9498 Mn
5.4177 1.0438 0.7381 Cr
3.6128 4.1699 0.7381 Cr
3.6128 2.0858 3.6854 Cr
1.8079 1.0438 0.7381 Cr
10.8383 6.2575 4.4247 Cd
8.8008 7.4338 5.2565 S
10.8383 3.9049 5.2565 S
10.8383 6.2575 1.9294 S
12.8757 7.4338 5.2565 S
9.1919 3.0364 2.1470 S
7.2255 6.4422 2.1470 S
7.2255 4.1716 5.3581 S
5.2591 3.0364 2.1470 S
```

## Properties
**Raw total energy**: -6.5216 eV per atom
**Spin magnetization**: 1.214 μB/atom
**Uncorrected formation energy**: -0.693 eV per atom

---

No. 20
The following is a GGA-PBE calculation of a relaxed structure of SbCI3, from Alexandria via LeMat-Bulk.

Structure (POSCAR):
```
SbCI3
1.0
5.1118 0.0000 0.0000
0.0000 5.1118 0.0000
0.0000 0.0000 5.1118
I Sb C
3 1 1
Cartesian
0.0000 2.5559 0.0000 I
0.0000 0.0000 2.5559 I
2.5559 0.0000 0.0000 I
2.5559 2.5559 2.5559 Sb
0.0000 0.0000 0.0000 C
```

## Properties
**Raw total energy**: -2.4482 eV per atom
**Polymorph energy (0 for the lowest one)**: 0 meV per atom
**Spin magnetization**: 0.000 μB/atom
**Uncorrected formation energy**: 1.151 eV per atom